No. 1
The following is a GGA-PBE calculation of NdSmMgAl after structural relaxation, from Alexandria via LeMat-Bulk.

Summary:
Space group: F-43m (216)
Formation energy from the elements, eV per atom: -0.2602

Unit cell a=5.3371 b=5.3371 c=5.3371 alpha=60.00 beta=60.00 gamma=60.00
Last column: nearest neighbours and their distance in Å.
Element x y z (fractional)
Mg 0.0000 0.0000 0.0000  4 Nd 3.27, 4 Sm 3.27
Al 0.5000 0.5000 0.5000  4 Nd 3.27, 4 Sm 3.27
Sm 0.2500 0.2500 0.2500  4 Mg 3.27, 4 Al 3.27
Nd 0.7500 0.7500 0.7500  4 Mg 3.27, 4 Al 3.27


No. 2
The following is a GGA-PBE calculation of TbNdMgAl after structural relaxation, from Alexandria via LeMat-Bulk.

Summary:
Space group: F-43m (216)
Formation energy from the elements, eV per atom: -0.2643

Unit cell a=5.2945 b=5.2945 c=5.2945 alpha=60.00 beta=60.00 gamma=60.00
Last column: nearest neighbours and their distance in Å.
Element x y z (fractional)
Mg 0.7500 0.7500 0.7500  4 Nd 3.24, 4 Tb 3.24
Nd 0.0000 0.0000 0.0000  4 Al 3.24, 4 Mg 3.24
Al 0.2500 0.2500 0.2500  4 Tb 3.24, 4 Nd 3.24
Tb 0.5000 0.5000 0.5000  4 Mg 3.24, 4 Al 3.24


No. 3
The following is a GGA-PBE calculation of NdThMgAl after structural relaxation, from Alexandria via LeMat-Bulk.

Summary:
Space group: F-43m (216)
Formation energy from the elements, eV per atom: -0.1412

Unit cell a=5.3499 b=5.3499 c=5.3499 alpha=60.00 beta=60.00 gamma=60.00
Last column: nearest neighbours and their distance in Å.
Element x y z (fractional)
Mg 0.0000 0.0000 0.0000  4 Th 3.28, 4 Nd 3.28
Nd 0.7500 0.7500 0.7500  4 Al 3.28, 4 Mg 3.28
Al 0.5000 0.5000 0.5000  4 Nd 3.28, 4 Th 3.28
Th 0.2500 0.2500 0.2500  4 Mg 3.28, 4 Al 3.28


No. 4
The following is a GGA-PBE calculation of NdMgAlTl after structural relaxation, from Alexandria via LeMat-Bulk.

Summary:
Space group: F-43m (216)
Formation energy from the elements, eV per atom: -0.1762

Unit cell a=5.2111 b=5.2111 c=5.2111 alpha=60.00 beta=60.00 gamma=60.00
Last column: nearest neighbours and their distance in Å.
Element x y z (fractional)
Tl 0.0000 0.0000 0.0000  4 Nd 3.19, 4 Mg 3.19
Mg 0.7500 0.7500 0.7500  4 Al 3.19, 4 Tl 3.19
Nd 0.2500 0.2500 0.2500  4 Tl 3.19, 4 Al 3.19
Al 0.5000 0.5000 0.5000  4 Mg 3.19, 4 Nd 3.19


No. 5
The following is a GGA-PBE calculation of NdYMgAl after structural relaxation, from Alexandria via LeMat-Bulk.

Summary:
Space group: F-43m (216)
Formation energy from the elements, eV per atom: -0.2808

Unit cell a=5.2898 b=5.2898 c=5.2898 alpha=60.00 beta=60.00 gamma=60.00
Last column: nearest neighbours and their distance in Å.
Element x y z (fractional)
Mg 0.0000 0.0000 0.0000  4 Nd 3.24, 4 Y 3.24
Nd 0.2500 0.2500 0.2500  4 Mg 3.24, 4 Al 3.24
Al 0.5000 0.5000 0.5000  4 Nd 3.24, 4 Y 3.24
Y 0.7500 0.7500 0.7500  4 Mg 3.24, 4 Al 3.24


No. 6
The following is a GGA-PBE calculation of NdMgAlZn after structural relaxation, from Alexandria via LeMat-Bulk.

Summary:
Space group: F-43m (216)
Formation energy from the elements, eV per atom: -0.2695

Unit cell a=4.9906 b=4.9906 c=4.9906 alpha=60.00 beta=60.00 gamma=60.00
Last column: nearest neighbours and their distance in Å.
Element x y z (fractional)
Nd 0.7500 0.7500 0.7500  4 Al 3.06, 4 Zn 3.06
Al 0.5000 0.5000 0.5000  4 Mg 3.06, 4 Nd 3.06
Mg 0.2500 0.2500 0.2500  4 Zn 3.06, 4 Al 3.06
Zn 0.0000 0.0000 0.0000  4 Nd 3.06, 4 Mg 3.06


No. 7
The following is a GGA-PBE calculation of NdMgAl2Zn2 after structural relaxation, from Alexandria via LeMat-Bulk.

Summary:
Space group: P-3m1 (164)
Formation energy from the elements, eV per atom: -0.3168

Unit cell a=4.4503 b=4.4503 c=6.9964 alpha=90.00 beta=90.00 gamma=120.00
Last column: nearest neighbours and their distance in Å.
Element x y z (fractional)
Zn 0.3333 0.6667 0.2778  3 Al 2.57
Zn 0.6667 0.3333 0.7222  3 Al 2.57
Nd 0.0000 0.0000 0.0000  6 Al 3.21, 6 Zn 3.22, 2 Mg 3.50
Al 0.6667 0.3333 0.2749  3 Zn 2.57
Al 0.3333 0.6667 0.7251  3 Zn 2.57
Mg 0.0000 0.0000 0.5000  6 Zn 3.00, 6 Al 3.01


No. 8
The following is a GGA-PBE calculation of NdMgAl2Zn4 after structural relaxation, from Alexandria via LeMat-Bulk.

Summary:
Space group: R-3m (166)
Formation energy from the elements, eV per atom: -0.1810

Unit cell a=4.4366 b=4.4366 c=9.1278 alpha=75.93 beta=75.93 gamma=60.00
Last column: nearest neighbours and their distance in Å.
Element x y z (fractional)
Nd 0.0000 0.0000 0.0000  8 Zn 3.05-3.29
Zn 0.3961 0.3961 0.8116  3 Al 2.66, 1 Mg 2.73
Zn 0.1252 0.1252 0.6245  3 Al 2.73, 3 Mg 2.78, 3 Zn 3.04
Zn 0.8748 0.8748 0.3755  3 Al 2.73, 3 Mg 2.78, 3 Zn 3.04
Zn 0.6039 0.6039 0.1884  3 Al 2.66, 1 Mg 2.73
Al 0.7564 0.7564 0.7308  6 Zn 2.66-2.73
Al 0.2436 0.2436 0.2692  6 Zn 2.66-2.73
Mg 0.5000 0.5000 0.5000  8 Zn 2.73-2.78